Compound: SrInBi3
Source: the Alexandria database
Functional: PBE
Structure: relaxed

Values from the calculation:
The calculation puts the density of states at the Fermi level at 3.88 states/eV per cell. The value obtained for the theoretical density is 5.95 g/cm³. The value obtained for the offset from the most stable computed form is 794 meV per atom. As for the symmetry: Pm-3m. Its formation energy is 53 kJ per mole of atoms. The final energy is -2.66 eV per atom.

Geometry as POSCAR:
```
SrInBi3
1.0
6.140 0.000 0.000
0.000 6.140 0.000
0.000 0.000 6.140
Sr In Bi
1 1 3
direct
0.000 0.000 0.000
0.500 0.500 0.500
0.000 0.000 0.500
0.000 0.500 0.000
0.500 0.000 0.000
```

Compound: Ac9LaSm2
Source: the Alexandria database
Functional: PBE
Structure: relaxed

Values from the calculation:
The calculation puts the density of states at the Fermi level at 20.77 states/eV per cell. The value obtained for the theoretical density is 8.12 g/cm³. As for the symmetry: P4/mmm. Its formation energy is 2 kJ per mole of atoms. The final energy is -4.25 eV per atom.

Geometry as POSCAR:
```
Ac9LaSm2
1.0
5.530 0.000 0.000
0.000 5.530 0.000
0.000 0.000 16.601
Ac La Sm
9 1 2
direct
0.000 0.000 0.000
0.000 0.000 0.335
0.000 0.000 0.665
0.000 0.500 0.168
0.000 0.500 0.500
0.000 0.500 0.832
0.500 0.000 0.168
0.500 0.000 0.500
0.500 0.000 0.832
0.500 0.500 0.000
0.500 0.500 0.334
0.500 0.500 0.666
```

Compound: CrTcBr2
Source: the Alexandria database
Functional: PBE
Structure: relaxed

Values from the calculation:
The calculation puts the density of states at the Fermi level at 3.58 states/eV per cell. The value obtained for the theoretical density is 6.43 g/cm³. The value obtained for the offset from the most stable computed form is 685 meV per atom. As for the symmetry: P2/m. The energy relative to the elements, uncorrected is 0.7479 eV/atom. The final energy is -5.09 eV per atom.

Geometry as POSCAR:
```
CrTcBr2
1.0
3.339 0.000 0.000
0.000 4.263 0.000
-0.336 0.000 5.616
Cr Tc Br
1 1 2
direct
0.000 0.000 0.000
0.500 0.000 0.500
0.295 0.500 0.255
0.705 0.500 0.745
```

Compound: Tb2HoTm2Mg2
Source: the Alexandria database
Functional: PBE
Structure: relaxed

Values from the calculation:
The calculation puts the density of states at the Fermi level at 9.02 states/eV per cell. The value obtained for the theoretical density is 7.17 g/cm³. As for the symmetry: R-3m. Its formation energy is -2 kJ per mole of atoms. The final energy is -3.73 eV per atom.

Geometry as POSCAR:
```
Tb2HoTm2Mg2
1.0
2.705 1.562 7.945
-2.705 1.562 7.945
0.000 -3.124 7.945
Tb Ho Tm Mg
2 1 2 2
direct
0.073 0.073 0.073
0.927 0.927 0.927
0.500 0.500 0.500
0.346 0.346 0.346
0.654 0.654 0.654
0.212 0.212 0.212
0.788 0.788 0.788
```

Compound: Ba2ThMg2As4
Source: the Alexandria database
Functional: PBE
Structure: relaxed

Values from the calculation:
The calculation puts the density of states at the Fermi level at 0.14 states/eV per cell. The value obtained for the theoretical density is 5.45 g/cm³. As for the symmetry: C2/m. Its formation energy is -105 kJ per mole of atoms. The final energy is -4.76 eV per atom.

Geometry as POSCAR:
```
Ba2ThMg2As4
1.0
8.019 -2.195 0.000
8.019 2.195 0.000
-2.591 0.000 7.405
Ba Th Mg As
2 1 2 4
direct
0.131 0.131 0.063
0.869 0.869 0.937
0.000 0.000 0.500
0.323 0.323 0.508
0.677 0.677 0.492
0.204 0.204 0.695
0.484 0.484 0.747
0.516 0.516 0.253
0.796 0.796 0.305
```

Compound: HgH4NCl3
Source: the Alexandria database
Functional: PBE
Structure: relaxed

Values from the calculation:
The calculation puts the density of states at the Fermi level at 0.00 states/eV per cell. The value obtained for the theoretical density is 3.15 g/cm³. As for the symmetry: P2_1. The final energy is -3.69 eV per atom.

Geometry as POSCAR:
```
HgH4NCl3
1.0
6.358 0.000 0.000
0.000 6.846 0.000
-2.094 0.000 7.871
Hg H N Cl
2 8 2 6
direct
0.014 0.000 0.235
0.986 0.500 0.765
0.344 0.931 0.716
0.388 0.399 0.190
0.480 0.432 0.405
0.480 0.622 0.274
0.520 0.122 0.726
0.520 0.932 0.595
0.612 0.899 0.810
0.656 0.431 0.284
0.500 0.470 0.286
0.500 0.970 0.714
0.001 0.301 0.386
0.170 0.246 0.951
0.433 0.932 0.308
0.567 0.432 0.692
0.830 0.746 0.049
0.999 0.801 0.614
```

Compound: TaFeBr2
Source: the Alexandria database
Functional: PBE
Structure: relaxed

Values from the calculation:
The calculation puts the density of states at the Fermi level at 5.17 states/eV per cell. The value obtained for the theoretical density is 10.12 g/cm³. The value obtained for the offset from the most stable computed form is 944 meV per atom. As for the symmetry: Fm-3m. The energy relative to the elements, uncorrected is 0.9568 eV/atom. The final energy is -4.96 eV per atom.

Geometry as POSCAR:
```
TaFeBr2
1.0
0.000 3.193 3.193
3.193 0.000 3.193
3.193 3.193 0.000
Ta Fe Br
1 1 2
direct
0.000 0.000 0.000
0.500 0.500 0.500
0.250 0.250 0.250
0.750 0.750 0.750
```

Compound: WC2
Source: the Alexandria database
Functional: PBE
Structure: relaxed

Values from the calculation:
The calculation puts the density of states at the Fermi level at 2.31 states/eV per cell. The value obtained for the theoretical density is 10.45 g/cm³. The value obtained for the offset from the most stable computed form is 845 meV per atom. As for the symmetry: Imma. Its formation energy is 131 kJ per mole of atoms. The final energy is -9.11 eV per atom.

Geometry as POSCAR:
```
WC2
1.0
-1.346 1.443 8.494
1.346 -1.443 8.494
1.346 1.443 -8.494
W C
2 4
direct
0.380 0.130 0.250
0.620 0.870 0.750
0.016 0.266 0.750
0.164 0.414 0.750
0.836 0.586 0.250
0.984 0.734 0.250
```

Compound: Na2MgVZn
Source: the Alexandria database
Functional: PBE
Structure: relaxed

Values from the calculation:
The calculation puts the density of states at the Fermi level at 5.06 states/eV per cell. The value obtained for the theoretical density is 1.74 g/cm³. As for the symmetry: P4/mmm. Its formation energy is 99 kJ per mole of atoms. The final energy is -1.90 eV per atom.

Geometry as POSCAR:
```
Na2MgVZn
1.0
5.722 0.000 0.000
0.000 5.722 0.000
0.000 0.000 5.456
Na Mg V Zn
2 1 1 1
direct
0.000 0.500 0.000
0.500 0.000 0.000
0.000 0.000 0.500
0.000 0.000 0.000
0.500 0.500 0.500
```

Compound: CaAg6Sn6
Source: the Alexandria database
Functional: PBE
Structure: relaxed

Values from the calculation:
The calculation puts the density of states at the Fermi level at 5.13 states/eV per cell. The value obtained for the theoretical density is 7.85 g/cm³. As for the symmetry: Immm. Its formation energy is -10 kJ per mole of atoms. The final energy is -3.42 eV per atom.

Geometry as POSCAR:
```
CaAg6Sn6
1.0
-2.938 4.895 5.149
2.938 -4.895 5.149
2.938 4.895 -5.149
Ca Ag Sn
1 6 6
direct
0.000 0.000 0.000
0.000 0.000 0.500
0.000 0.500 0.000
0.246 0.500 0.746
0.500 0.000 0.000
0.500 0.500 0.500
0.754 0.500 0.254
0.167 0.667 0.500
0.337 0.337 0.000
0.347 0.000 0.347
0.653 0.000 0.653
0.663 0.663 0.000
0.833 0.333 0.500
```

Compound: Sc4TeSe
Source: the Alexandria database
Functional: PBE
Structure: relaxed

Values from the calculation:
The calculation puts the density of states at the Fermi level at 9.24 states/eV per cell. The value obtained for the theoretical density is 4.47 g/cm³. The value obtained for the offset from the most stable computed form is 35 meV per atom. As for the symmetry: C2/c. The energy relative to the elements, uncorrected is -0.8277 eV/atom. The final energy is -6.15 eV per atom.

Geometry as POSCAR:
```
Sc4TeSe
1.0
3.802 -6.978 0.000
3.802 6.978 0.000
-3.321 0.000 5.405
Sc Te Se
8 2 2
direct
0.123 0.690 0.933
0.197 0.322 0.734
0.310 0.877 0.567
0.322 0.197 0.234
0.678 0.803 0.766
0.690 0.123 0.433
0.803 0.678 0.266
0.877 0.310 0.067
0.390 0.610 0.250
0.610 0.390 0.750
0.065 0.935 0.750
0.935 0.065 0.250
```

Compound: PmNi2Sb2
Source: the Alexandria database
Functional: PBE
Structure: relaxed

Values from the calculation:
The calculation puts the density of states at the Fermi level at 5.63 states/eV per cell. The value obtained for the theoretical density is 8.41 g/cm³. As for the symmetry: P4/nmm. The energy relative to the elements, uncorrected is -0.6310 eV/atom. The final energy is -5.54 eV per atom.

Geometry as POSCAR:
```
PmNi2Sb2
1.0
4.467 0.000 0.000
0.000 4.467 0.000
0.000 0.000 10.017
Pm Ni Sb
2 4 4
direct
0.250 0.250 0.238
0.750 0.750 0.762
0.250 0.250 0.625
0.250 0.750 0.000
0.750 0.250 0.000
0.750 0.750 0.375
0.250 0.250 0.874
0.250 0.750 0.500
0.750 0.250 0.500
0.750 0.750 0.126
```